A relaxed ErCr2GeC crystal. Source: Alexandria, functional PBE.

The total moment is 0.00 μB/f.u.

It has space group Cmcm (No. 63), with a = 5.211 Å, b = 10.941 Å, c = 5.362 Å, α = 90.00°, β = 90.00° and γ = 90.00°. The distinct sites, in fractional coordinates, are Er at (0.000, 0.248, 0.250), Cr at (0.238, 0.500, 0.000), Ge at (0.000, 0.144, 0.750) and C at (0.000, 0.442, 0.750).

=====

A relaxed Ho2ErCr2C4 crystal. Source: Alexandria, functional PBE.

The total moment is 0.00 μB/f.u.

It has space group C2/m (No. 12), with a = 12.975 Å, b = 3.389 Å, c = 5.941 Å, α = 90.00°, β = 110.41° and γ = 90.00°. The distinct sites, in fractional coordinates, are Ho at (0.135, 0.000, 0.042), Er at (0.000, 0.000, 0.500), Cr at (0.179, 0.500, 0.487), C at (0.041, 0.500, 0.251) and C at (0.216, 0.000, 0.692).

=====

A relaxed La2ErCr2C4 crystal. Source: Alexandria, functional PBE.

The total moment is 0.00 μB/f.u.

It has space group C2/m (No. 12), with a = 13.313 Å, b = 3.493 Å, c = 6.182 Å, α = 90.00°, β = 108.71° and γ = 90.00°. The distinct sites, in fractional coordinates, are La at (0.132, 0.000, 0.038), Er at (0.000, 0.000, 0.500), Cr at (0.181, 0.500, 0.501), C at (0.053, 0.500, 0.277) and C at (0.213, 0.000, 0.664).

=====

A relaxed LiErCrC crystal. Source: Alexandria, functional PBE.

The total moment is 0.00 μB/f.u.

It has space group P4/nmm (No. 129, origin choice 2), with a = 3.318 Å, b = 3.318 Å, c = 10.977 Å, α = 90.00°, β = 90.00° and γ = 90.00°. The distinct sites, in fractional coordinates, are Li at (0.250, 0.750, 0.000), Er at (0.250, 0.250, 0.272), Cr at (0.250, 0.750, 0.500) and C at (0.250, 0.250, 0.621).

=====

A relaxed ErNb2CrC4 crystal. Source: Alexandria, functional PBE.

The total moment is 0.00 μB/f.u.

It has space group Cmcm (No. 63), with a = 3.190 Å, b = 11.128 Å, c = 11.023 Å, α = 90.00°, β = 90.00° and γ = 90.00°. The distinct sites, in fractional coordinates, are Er at (0.000, 0.103, 0.250), Nb at (0.000, 0.370, 0.040), Cr at (0.000, 0.163, 0.750), C at (0.000, 0.000, 0.000), C at (0.000, 0.265, 0.619) and C at (0.000, 0.434, 0.250).

=====

A relaxed NdEr2Cr2C4 crystal. Source: Alexandria, functional PBE.

The total moment is 0.03 μB/f.u.

It has space group C2/m (No. 12), with a = 13.446 Å, b = 3.303 Å, c = 5.871 Å, α = 90.00°, β = 113.20° and γ = 90.00°. The distinct sites, in fractional coordinates, are Nd at (0.000, 0.000, 0.000), Er at (0.148, 0.000, 0.540), Cr at (0.175, 0.500, 0.974), C at (0.022, 0.500, 0.633) and C at (0.221, 0.000, 0.199).

=====

A relaxed Nd2ErCr2C4 crystal. Source: Alexandria, functional PBE.

The total moment is 0.00 μB/f.u.

It has space group C2/m (No. 12), with a = 13.249 Å, b = 3.475 Å, c = 6.076 Å, α = 90.00°, β = 108.82° and γ = 90.00°. The distinct sites, in fractional coordinates, are Nd at (0.133, 0.000, 0.040), Er at (0.000, 0.000, 0.500), Cr at (0.181, 0.500, 0.500), C at (0.051, 0.500, 0.272) and C at (0.213, 0.000, 0.670).

=====

A relaxed Er2PaCr2C4 crystal. Source: Alexandria, functional PBE.

The total moment is 0.00 μB/f.u.

It has space group C2/m (No. 12), with a = 12.755 Å, b = 3.384 Å, c = 6.044 Å, α = 90.00°, β = 110.49° and γ = 90.00°. The distinct sites, in fractional coordinates, are Er at (0.136, 0.000, 0.047), Pa at (0.000, 0.000, 0.500), Cr at (0.181, 0.500, 0.484), C at (0.032, 0.500, 0.237) and C at (0.219, 0.000, 0.705).

=====

A relaxed ErPa2CrC4 crystal. Source: Alexandria, functional PBE.

The total moment is 1.56 μB/f.u.

It has space group Cmcm (No. 63), with a = 3.526 Å, b = 11.415 Å, c = 12.139 Å, α = 90.00°, β = 90.00° and γ = 90.00°. The distinct sites, in fractional coordinates, are Er at (0.000, 0.110, 0.250), Pa at (0.000, 0.366, 0.047), Cr at (0.000, 0.161, 0.750), C at (0.000, 0.000, 0.000), C at (0.000, 0.266, 0.632) and C at (0.000, 0.418, 0.250).

=====

A relaxed ErPaCrC3 crystal. Source: Alexandria, functional PBE.

The total moment is 0.00 μB/f.u.

It has space group C2/m (No. 12), with a = 13.064 Å, b = 3.790 Å, c = 6.846 Å, α = 90.00°, β = 105.34° and γ = 90.00°. The distinct sites, in fractional coordinates, are Er at (0.149, 0.000, 0.079), Pa at (0.145, 0.000, 0.571), Cr at (0.004, 0.500, 0.786), C at (0.002, 0.000, 0.253), C at (0.155, 0.500, 0.819) and C at (0.164, 0.500, 0.349).

=====

A relaxed PmEr2Cr2C4 crystal. Source: Alexandria, functional PBE.

The total moment is 0.00 μB/f.u.

It has space group C2/m (No. 12), with a = 13.227 Å, b = 3.407 Å, c = 6.021 Å, α = 90.00°, β = 112.52° and γ = 90.00°. The distinct sites, in fractional coordinates, are Pm at (0.000, 0.000, 0.000), Er at (0.135, 0.000, 0.546), Cr at (0.178, 0.500, 0.980), C at (0.039, 0.500, 0.730) and C at (0.219, 0.000, 0.187).

=====

A relaxed ErPu2CrC4 crystal. Source: Alexandria, functional PBE.

The total moment is 8.99 μB/f.u.

It has space group Cmcm (No. 63), with a = 3.477 Å, b = 11.171 Å, c = 12.029 Å, α = 90.00°, β = 90.00° and γ = 90.00°. The distinct sites, in fractional coordinates, are Er at (0.000, 0.108, 0.250), Pu at (0.000, 0.368, 0.044), Cr at (0.000, 0.163, 0.750), C at (0.000, 0.000, 0.000), C at (0.000, 0.265, 0.632) and C at (0.000, 0.423, 0.250).

=====

Number 1: energy relative to the elements -0.138 eV/atom, density of states at the Fermi level 18.9 states/eV per cell, E -7.67 eV per atom. Number 2: energy relative to the elements -0.144 eV/atom, density of states at the Fermi level 13.5 states/eV per cell, E -7.91 eV per atom. Number 3: energy relative to the elements -0.144 eV/atom, density of states at the Fermi level 9.7 states/eV per cell, E -7.98 eV per atom. Number 4: energy relative to the elements -0.049 eV/atom, density of states at the Fermi level 6.3 states/eV per cell, E -6.38 eV per atom. Number 5: energy relative to the elements -0.309 eV/atom, density of states at the Fermi level 12.7 states/eV per cell, E -9.21 eV per atom. Number 6: energy relative to the elements -0.108 eV/atom, density of states at the Fermi level 11.9 states/eV per cell, E -7.89 eV per atom. Number 7: energy relative to the elements -0.114 eV/atom, density of states at the Fermi level 11.1 states/eV per cell, E -7.92 eV per atom. Number 8: energy relative to the elements -0.129 eV/atom, density of states at the Fermi level 12.4 states/eV per cell, E -8.44 eV per atom. Number 9: energy relative to the elements -0.156 eV/atom, density of states at the Fermi level 22.3 states/eV per cell, E -8.92 eV per atom. Number 10: energy relative to the elements -0.220 eV/atom, density of states at the Fermi level 10.9 states/eV per cell, E -8.78 eV per atom. Number 11: energy relative to the elements -0.041 eV/atom, density of states at the Fermi level 14.0 states/eV per cell, E -7.82 eV per atom. Number 12: energy relative to the elements 0.038 eV/atom, density of states at the Fermi level 48.5 states/eV per cell, E -9.93 eV per atom.